Below is a relaxed Pu2MnOs3 crystal, with properties calculated at the PBE level.

Unit cell a=5.319 b=5.319 c=5.296 alpha=89.99 beta=120.13 gamma=120.03
Site moments in Bohr magnetons follow the coordinates.
Fractional positions:
Os 0.000 0.000 0.500  -0.20
Os 0.500 0.500 0.500  -0.20
Os 0.500 0.000 0.500  -0.20
Pu 0.247 0.623 0.870  4.91
Pu 0.753 0.377 0.130  4.91
Mn 0.000 0.000 0.000  -2.78

**Calculated formation energy**: -112 meV per atom
**M_tot**: 1.127 μB per atom